Record 1
PBE-GGA GePdW3, optimized geometry; density of states at the Fermi level = 1.435 states/eV/atom; energy relative to the lowest polymorph listed for this composition = 604 meV per atom; symmetry = Pm-3m, No. 221
1.0
-3.0334 -3.1086 1.9149
2.5648 -3.5861 -1.7586
2.5984 -0.0892 3.9714
W Ge Pd
3 1 1
Cartesian
-1.5167 -1.5543 0.9574 W
1.2992 -0.0446 1.9857 W
1.2824 -1.7931 -0.8793 W
1.0649 -3.3920 2.0638 Ge
0.0000 0.0000 0.0000 Pd



Record 2
PBE-GGA Ge2PdW2, optimized geometry; density of states at the Fermi level = 0.740 states/eV/atom; energy relative to the lowest polymorph listed for this composition = 194 meV per atom; symmetry = I4/mmm, No. 139
1.0
3.8482 0.0000 0.0000
0.0000 3.8482 0.0000
1.9241 1.9241 5.8858
W Ge Pd
2 2 1
Cartesian
1.9241 3.8482 2.9429 W
3.8482 1.9241 2.9429 W
3.8482 3.8482 4.7188 Ge
1.9241 1.9241 1.1670 Ge
0.0000 0.0000 0.0000 Pd



Record 3
PBE-GGA Ge2Pd2W, optimized geometry; uncorrected energy = -6.5056 eV/atom; density of states at the Fermi level = 0.430 states/eV/atom; symmetry = P4/mbm, No. 127
1.0
-4.8275 5.1052 -1.9576
-4.0288 -1.5559 5.8777
1.4802 1.9908 1.5416
W Ge Pd
2 4 4
Cartesian
0.0000 0.0000 0.0000 W
-4.4282 1.7746 1.9601 W
-5.0562 0.4410 4.2852 Ge
-2.1394 0.2648 1.7123 Ge
-3.8002 3.1082 -0.3651 Ge
-6.7169 3.2844 2.2079 Ge
-2.5364 0.7233 4.2683 Pd
-5.8163 2.9413 4.5531 Pd
-4.8397 4.8168 1.1934 Pd
-1.5598 2.5987 0.9086 Pd



Record 4
PBE-GGA Y2GePd, optimized geometry; uncorrected energy = -6.5930 eV/atom; density of states at the Fermi level = 0.283 states/eV/atom; symmetry = P2_1/m, No. 11
1.0
-3.4501 -1.4695 -2.1748
0.4181 -5.1238 2.7988
-4.5940 4.8774 3.9924
Y Ge Pd
4 2 2
Cartesian
-6.7117 2.2364 2.6559 Y
-3.1144 -1.6288 3.8812 Y
-4.5116 -0.0871 0.7354 Y
-0.9143 -3.9522 1.9606 Y
-1.6744 -1.0324 1.1936 Ge
-5.9516 -0.6835 3.4229 Ge
-3.9850 1.2959 3.2861 Pd
-3.6410 -3.0117 1.3304 Pd



Record 5
PBE-GGA Y2GePd, optimized geometry; uncorrected energy = -6.4806 eV/atom; density of states at the Fermi level = 0.579 states/eV/atom; symmetry = P4/mmm, No. 123
1.0
3.6260 0.0000 0.0000
0.0000 4.9687 0.0000
0.0000 0.0000 4.9687
Y Ge Pd
2 1 1
Cartesian
0.0000 0.0000 2.4843 Y
0.0000 2.4843 0.0000 Y
1.8130 0.0000 0.0000 Ge
1.8130 2.4843 2.4843 Pd



Record 6
PBE-GGA YGe2Pd6, optimized geometry; density of states at the Fermi level = 0.325 states/eV/atom; energy relative to the lowest polymorph listed for this composition = 0 meV per atom; symmetry = C2/m, No. 12
1.0
-3.2908 1.6785 -2.1834
-5.0994 1.0782 4.2757
-0.8405 6.3992 1.9472
Pd Ge Y
6 2 1
Cartesian
-5.8908 7.4932 1.9591 Pd
-3.3399 1.6627 2.0803 Pd
-5.4949 3.4791 2.5006 Pd
-7.5691 5.3963 2.8767 Pd
-3.7358 5.6768 1.5388 Pd
-1.6616 3.7596 1.1627 Pd
-4.0993 3.4478 0.3811 Ge
-5.1314 5.7081 3.6584 Ge
-3.2908 1.6785 -2.1834 Y



Record 7
PBE-GGA YGePd6, optimized geometry; density of states at the Fermi level = 0.229 states/eV/atom; energy relative to the lowest polymorph listed for this composition = 0 meV per atom; symmetry = P4/mmm, No. 123
1.0
-3.0428 -1.4915 -2.2929
1.9426 -3.5929 -0.2408
-3.6949 -2.4323 6.4853
Ge Pd Y
1 6 1
Cartesian
-1.8474 -1.2162 3.2427 Ge
-2.3975 -3.7583 1.9758 Pd
-0.5501 -2.5422 -1.2669 Pd
-1.7319 -3.5760 4.6244 Pd
-0.0203 -2.4492 1.6201 Pd
-2.5130 -1.3985 0.5941 Pd
-4.2246 -2.5253 3.5984 Pd
0.0000 0.0000 0.0000 Y



Record 8
PBE-GGA YGePd6, optimized geometry; density of states at the Fermi level = 0.347 states/eV/atom; energy relative to the lowest polymorph listed for this composition = 298 meV per atom; symmetry = R-3m, No. 166
1.0
5.5108 0.0000 0.0000
2.7554 4.7725 0.0000
2.7554 1.5908 6.2261
Pd Ge Y
6 1 1
Cartesian
9.6053 5.5456 4.4557 Pd
6.9270 5.5456 4.4557 Pd
1.4163 0.8177 1.7704 Pd
8.2661 3.2262 4.4557 Pd
2.7554 3.1371 1.7704 Pd
4.0945 0.8177 1.7704 Pd
0.0000 0.0000 0.0000 Ge
5.5108 3.1816 3.1130 Y